Density functional theory data (PBE) for a geometry-optimized Gd2InS structure.

a = 8.318 Å, b = 8.318 Å, c = 8.318 Å
α = 26.97°, β = 26.97°, γ = 26.97°
Atoms (fractional coordinates):
1 Gd 0.235 0.235 0.235
2 Gd 0.765 0.765 0.765
3 In 0.000 0.000 0.000
4 S 0.500 0.500 0.500

Values from the calculation:
The calculation puts the uncorrected formation energy at -117 kJ per mole of atoms. Its electronic total energy is -9.9668 eV/atom. As for the space group: R-3m. The density of states at the Fermi level comes out at 0.515 states/eV per atom.